# 1
Te4PtCl (PBE-GGA, optimized geometry); DOS at the Fermi energy = 0.6235 states/eV/atom; offset from the most stable computed form = 897 meV/atom; ΔE_f (raw) = 0.626 eV/atom; E_tot = -2.7833 eV per atom
1.0
0.0000 4.3471 4.3471
4.3471 0.0000 4.3471
4.3471 4.3471 0.0000
Te Pt Cl
4 1 1
Cartesian
3.2648 3.2648 3.2648
5.4295 5.4295 3.2648
5.4295 3.2648 5.4295
3.2648 5.4295 5.4295
6.5207 6.5207 6.5207
0.0000 0.0000 0.0000


# 2
Te2Pt2Cl (PBE-GGA, optimized geometry); DOS at the Fermi energy = 0.4689 states/eV/atom; offset from the most stable computed form = 0 meV/atom; ΔE_f (raw) = -0.348 eV/atom; E_tot = -4.3901 eV per atom
1.0
-1.9832 1.9832 7.7509
1.9832 -1.9832 7.7509
1.9832 1.9832 -7.7509
Te Pt Cl
2 2 1
Cartesian
0.0000 0.0000 2.6535
0.0000 0.0000 12.8483
0.0000 0.0000 5.2543
0.0000 0.0000 10.2474
0.0000 0.0000 7.7509


# 3
Te2Pt2Cl (PBE-GGA, optimized geometry); DOS at the Fermi energy = 0.5502 states/eV/atom; offset from the most stable computed form = 73 meV/atom; ΔE_f (raw) = -0.275 eV/atom; E_tot = -4.3171 eV per atom
1.0
-1.9741 1.9741 7.5062
1.9741 -1.9741 7.5062
1.9741 1.9741 -7.5062
Te Pt Cl
2 2 1
Cartesian
0.0000 0.0000 1.8945
0.0000 0.0000 13.1180
1.9741 0.0000 3.7531
0.0000 1.9741 3.7531
0.0000 0.0000 7.5062


# 4
Tm3TePtCl (PBE-GGA, optimized geometry); DOS at the Fermi energy = 0.5937 states/eV/atom; ΔE_f (raw) = -1.268 eV/atom; E_tot = -5.3417 eV per atom
1.0
8.4535 0.0000 0.0000
0.0000 4.0692 0.0000
-0.9586 0.0000 9.6226
Tm Te Pt Cl
6 2 2 2
Cartesian
0.8151 1.0173 3.0686
0.3361 1.0173 8.6680
1.9934 3.0519 5.9681
5.5015 1.0173 3.6545
7.1588 3.0519 0.9546
6.6797 3.0519 6.5540
3.1579 3.0519 3.0622
4.3370 1.0173 6.5604
0.0291 1.0173 5.8819
7.4658 3.0519 3.7407
2.0666 3.0519 8.8086
5.4283 1.0173 0.8139


# 5
Th2PtCl2 (PBE-GGA, optimized geometry); DOS at the Fermi energy = 0.6928 states/eV/atom; ΔE_f (raw) = -1.546 eV/atom; E_tot = -6.4607 eV per atom
1.0
2.0898 1.2065 10.4322
-2.0898 1.2065 10.4322
0.0000 -2.4131 10.4322
Th Pt Cl
2 1 2
Cartesian
0.0000 0.0000 3.5871
0.0000 0.0000 27.7093
0.0000 0.0000 15.6482
0.0000 0.0000 8.6327
0.0000 0.0000 22.6637


# 6
Ti3PtCl (PBE-GGA, optimized geometry); DOS at the Fermi energy = 1.2662 states/eV/atom; offset from the most stable computed form = 0 meV/atom; ΔE_f (raw) = -0.162 eV/atom; E_tot = -6.4768 eV per atom
1.0
4.3891 0.0000 0.0000
0.0000 4.3891 0.0000
0.0000 0.0000 4.3891
Ti Pt Cl
3 1 1
Cartesian
0.0000 0.0000 2.1945
0.0000 2.1945 0.0000
2.1945 0.0000 0.0000
2.1945 2.1945 2.1945
0.0000 0.0000 0.0000


# 7
TiPtCl2 (PBE-GGA, optimized geometry); DOS at the Fermi energy = 0.9772 states/eV/atom; offset from the most stable computed form = 0 meV/atom; ΔE_f (raw) = -0.545 eV/atom; E_tot = -4.9523 eV per atom
1.0
1.5497 0.8947 8.2532
-1.5497 0.8947 8.2532
0.0000 -1.7894 8.2532
Ti Pt Cl
1 1 2
Cartesian
0.0000 0.0000 0.0000
0.0000 0.0000 12.3799
0.0000 0.0000 9.9227
0.0000 0.0000 14.8370


# 8
Ti2PtCl (PBE-GGA, optimized geometry); DOS at the Fermi energy = 1.1326 states/eV/atom; offset from the most stable computed form = 0 meV/atom; ΔE_f (raw) = -0.409 eV/atom; E_tot = -6.3283 eV per atom
1.0
-3.3016 3.3016 3.2238
3.3016 -3.3016 3.2238
3.3016 3.3016 -3.2238
Ti Pt Cl
4 2 2
Cartesian
1.6508 1.5203 -0.8059
1.7813 -1.6508 4.0297
1.6508 1.7813 2.4178
1.5203 4.9525 0.8059
3.3016 0.0000 1.6119
0.0000 0.0000 3.2238
0.0000 0.0000 0.0000
0.0000 3.3016 1.6119